(1)
# LiPu2Sb2 PBE-GGA optimized geometry
# E_form (uncorrected) (meV per atom): -83
# V (Å³ per atom): 21.994
data_LiPu2Sb2
_chemical_formula_sum 'Li4 Pu8 Sb8'
_space_group_name_H-M_alt 'I b a m'
_space_group_IT_number 72
_space_group_name_Hall '-I 2 2c'
_cell_length_a 4.636
_cell_length_b 18.992
_cell_length_c 4.996
_cell_angle_alpha 90.00
_cell_angle_beta 90.00
_cell_angle_gamma 90.00
loop_
_atom_site_label
_atom_site_type_symbol
_atom_site_fract_x
_atom_site_fract_y
_atom_site_fract_z
Li1 Li 0.000 0.000 0.250
Pu1 Pu 0.246 0.228 0.000
Sb1 Sb 0.235 0.386 0.000



(2)
# Li2PuSb2 PBE-GGA optimized geometry
# E_form (uncorrected) (meV per atom): -526
# V (Å³ per atom): 22.848
data_Li2PuSb2
_chemical_formula_sum 'Li4 Pu2 Sb4'
_space_group_name_H-M_alt 'P 4/n m m'
_space_group_IT_number 129
_cell_length_a 4.516
_cell_length_b 4.516
_cell_length_c 11.206
_cell_angle_alpha 90.00
_cell_angle_beta 90.00
_cell_angle_gamma 90.00
loop_
_space_group_symop_operation_xyz
'x,y,z'
'-x,-y,-z'
'-y+1/2,x,z'
'y+1/2,-x,-z'
'-x+1/2,-y+1/2,z'
'x+1/2,y+1/2,-z'
'y,-x+1/2,z'
'-y,x+1/2,-z'
'x+1/2,-y,-z'
'-x+1/2,y,z'
'-y,-x,-z'
'y,x,z'
'-x,y+1/2,-z'
'x,-y+1/2,z'
'y+1/2,x+1/2,-z'
'-y+1/2,-x+1/2,z'
loop_
_atom_site_label
_atom_site_type_symbol
_atom_site_fract_x
_atom_site_fract_y
_atom_site_fract_z
Li1 Li 0.250 0.250 0.128
Li2 Li 0.250 0.750 0.500
Pu1 Pu 0.250 0.250 0.766
Sb1 Sb 0.250 0.250 0.352
Sb2 Sb 0.250 0.750 0.000



(3)
# LiPuSb PBE-GGA optimized geometry
# E_form (uncorrected) (meV per atom): -288
# V (Å³ per atom): 19.773
data_LiPuSb
_chemical_formula_sum 'Li4 Pu4 Sb4'
_space_group_name_H-M_alt 'C 1 2/m 1'
_space_group_IT_number 12
_cell_length_a 5.454
_cell_length_b 4.672
_cell_length_c 9.335
_cell_angle_alpha 90.00
_cell_angle_beta 94.06
_cell_angle_gamma 90.00
loop_
_space_group_symop_operation_xyz
'x,y,z'
'-x,-y,-z'
'-x,y,-z'
'x,-y,z'
'x+1/2,y+1/2,z'
'-x+1/2,-y+1/2,-z'
'-x+1/2,y+1/2,-z'
'x+1/2,-y+1/2,z'
loop_
_atom_site_label
_atom_site_type_symbol
_atom_site_fract_x
_atom_site_fract_y
_atom_site_fract_z
Li1 Li 0.235 0.000 0.418
Pu1 Pu 0.201 0.000 0.047
Sb1 Sb 0.221 0.500 0.270



(4)
# LiPuSb PBE-GGA optimized geometry
# E_form (uncorrected) (meV per atom): -359
# V (Å³ per atom): 29.700
data_LiPuSb
_chemical_formula_sum 'Li4 Pu4 Sb4'
_space_group_name_H-M_alt 'F -4 3 m'
_space_group_IT_number 216
_space_group_name_Hall 'F -4 2 3'
_cell_length_a 7.090
_cell_length_b 7.090
_cell_length_c 7.090
_cell_angle_alpha 90.00
_cell_angle_beta 90.00
_cell_angle_gamma 90.00
loop_
_atom_site_label
_atom_site_type_symbol
_atom_site_fract_x
_atom_site_fract_y
_atom_site_fract_z
Li1 Li 0.000 0.000 0.000
Pu1 Pu 0.000 0.000 0.500
Sb1 Sb 0.250 0.250 0.750